(1)
Here is an optimized crystal structure of Ba2YPb from Alexandria via LeMat-Bulk. Energies are from PBE-GGA.

Computed properties:
Total magnetization ... 0.000 μB per cell
ΔE_f ... 94 meV/atom

POSCAR file:
```
Ba2YPb
1.0
-5.021 5.021 3.430
5.021 -5.021 3.430
5.021 5.021 -3.430
Ba Y Pb
4 2 2
Direct
0.088 0.625 0.963
0.375 0.338 0.463
0.662 0.125 0.037
0.875 0.912 0.537
0.250 0.750 0.500
0.500 0.500 0.000
0.000 0.000 0.000
0.750 0.250 0.500
```

***

(2)
Here is an optimized crystal structure of Ba2Y2Pb from Alexandria via LeMat-Bulk. Energies are from PBE-GGA.

Computed properties:
Total magnetization ... 0.000 μB per cell
ΔE_f ... -32 meV/atom

POSCAR file:
```
Ba2Y2Pb
1.0
8.347 0.000 0.000
0.000 8.347 0.000
0.000 0.000 5.913
Ba Y Pb
4 4 2
Direct
0.167 0.333 0.000
0.333 0.833 0.000
0.667 0.167 0.000
0.833 0.667 0.000
0.149 0.649 0.500
0.351 0.149 0.500
0.649 0.851 0.500
0.851 0.351 0.500
0.000 0.000 0.500
0.500 0.500 0.500
```

***

(3)
Here is an optimized crystal structure of Ba2YPb from Alexandria via LeMat-Bulk. Energies are from PBE-GGA.

Computed properties:
Total magnetization ... 0.544 μB per cell
ΔE_f ... -93 meV/atom

POSCAR file:
```
Ba2YPb
1.0
4.075 0.000 0.000
0.000 5.328 0.000
0.000 0.000 7.489
Ba Y Pb
2 1 1
Direct
0.000 0.000 0.235
0.000 0.000 0.765
0.500 0.500 0.500
0.500 0.500 0.000
```

***

(4)
Here is an optimized crystal structure of BaYPb from Alexandria via LeMat-Bulk. Energies are from PBE-GGA.

Computed properties:
Total magnetization ... 0.001 μB per cell
ΔE_f ... -183 meV/atom

POSCAR file:
```
BaYPb
1.0
0.000 3.958 3.958
3.958 0.000 3.958
3.958 3.958 0.000
Ba Y Pb
1 1 1
Direct
0.000 0.000 0.000
0.500 0.500 0.500
0.750 0.750 0.750
```

***

(5)
Here is an optimized crystal structure of BaY2Pb from Alexandria via LeMat-Bulk. Energies are from PBE-GGA.

Computed properties:
Total magnetization ... 1.397 μB per cell
ΔE_f ... 4 meV/atom

POSCAR file:
```
BaY2Pb
1.0
0.000 4.102 4.102
4.102 0.000 4.102
4.102 4.102 0.000
Ba Y Pb
1 2 1
Direct
0.000 0.000 0.000
0.500 0.500 0.500
0.750 0.750 0.750
0.250 0.250 0.250
```

***

(6)
Here is an optimized crystal structure of BaY2Pb from Alexandria via LeMat-Bulk. Energies are from PBE-GGA.

Computed properties:
Total magnetization ... 0.001 μB per cell
ΔE_f ... -99 meV/atom

POSCAR file:
```
BaY2Pb
1.0
3.666 0.000 0.000
0.000 4.174 0.000
0.000 0.000 9.552
Ba Y Pb
1 2 1
Direct
0.000 0.000 0.000
0.500 0.500 0.313
0.500 0.500 0.687
0.000 0.000 0.500
```

***

(7)
Here is an optimized crystal structure of BaY2Pb from Alexandria via LeMat-Bulk. Energies are from PBE-GGA.

Computed properties:
Total magnetization ... 0.000 μB per cell
ΔE_f ... 77 meV/atom

POSCAR file:
```
BaY2Pb
1.0
-4.701 4.701 3.549
4.701 -4.701 3.549
4.701 4.701 -3.549
Ba Y Pb
2 4 2
Direct
0.000 0.000 0.000
0.750 0.250 0.500
0.182 0.625 0.057
0.375 0.432 0.557
0.568 0.125 0.943
0.875 0.818 0.443
0.250 0.750 0.500
0.500 0.500 0.000
```

***

(8)
Here is an optimized crystal structure of Ba2YPb from Alexandria via LeMat-Bulk. Energies are from PBE-GGA.

Computed properties:
Total magnetization ... 0.000 μB per cell
ΔE_f ... -191 meV/atom

POSCAR file:
```
Ba2YPb
1.0
-2.295 2.989 6.243
2.295 -2.989 6.243
2.295 2.989 -6.243
Ba Y Pb
2 1 1
Direct
0.000 0.000 0.000
0.703 0.203 0.500
0.407 0.407 0.000
0.237 0.737 0.500
```

***

(9)
Here is an optimized crystal structure of BaY2Pb from Alexandria via LeMat-Bulk. Energies are from PBE-GGA.

Computed properties:
Total magnetization ... 0.001 μB per cell
ΔE_f ... -33 meV/atom

POSCAR file:
```
BaY2Pb
1.0
3.630 -5.971 0.000
3.630 5.971 0.000
-1.696 0.000 3.210
Ba Y Pb
1 2 1
Direct
0.000 0.000 0.000
0.000 0.500 0.500
0.500 0.000 0.500
0.500 0.500 0.000
```

***

(10)
Here is an optimized crystal structure of Ba2YPb from Alexandria via LeMat-Bulk. Energies are from PBE-GGA.

Computed properties:
Total magnetization ... 0.000 μB per cell
ΔE_f ... -118 meV/atom

POSCAR file:
```
Ba2YPb
1.0
-2.571 2.571 5.771
2.571 -2.571 5.771
2.571 2.571 -5.771
Ba Y Pb
2 1 1
Direct
0.250 0.750 0.500
0.750 0.250 0.500
0.000 0.000 0.000
0.500 0.500 0.000
```

***

(11)
Here is an optimized crystal structure of BaYPb3 from Alexandria via LeMat-Bulk. Energies are from PBE-GGA.

Computed properties:
Total magnetization ... 0.000 μB per cell
ΔE_f ... 790 meV/atom

POSCAR file:
```
BaYPb3
1.0
6.074 0.000 0.000
0.000 6.074 0.000
0.000 0.000 6.074
Ba Y Pb
1 1 3
Direct
0.000 0.000 0.000
0.500 0.500 0.500
0.000 0.000 0.500
0.000 0.500 0.000
0.500 0.000 0.000
```

***

(12)
Here is an optimized crystal structure of BaYPb from Alexandria via LeMat-Bulk. Energies are from PBE-GGA.

Computed properties:
Total magnetization ... 0.000 μB per cell
ΔE_f ... 415 meV/atom

POSCAR file:
```
BaYPb
1.0
0.000 3.969 3.969
3.969 0.000 3.969
3.969 3.969 0.000
Ba Y Pb
1 1 1
Direct
0.000 0.000 0.000
0.750 0.750 0.750
0.250 0.250 0.250
```